Ce7SnBi3: relaxed, PBE-GGA.

As for the total magnetic moment: 0.79 μB/atom. The crystal system is monoclinic. The calculation puts the formation enthalpy at 0 K at -3.964 eV per formula unit. The total energy comes out at -5.559 eV per atom.

It has space group C2/m (No. 12), with a = 11.009 Å, b = 11.662 Å, c = 5.942 Å, α = 90.00°, β = 115.31° and γ = 90.00°. The asymmetric unit holds Ce at (0.000, 0.000, 0.000), Ce at (0.177, 0.253, 0.638), Ce at (0.183, 0.500, 0.179), Sn at (0.000, 0.000, 0.500), Bi at (0.000, 0.268, 0.000) and Bi at (0.000, 0.500, 0.500).